Density functional theory data (PBE-GGA) for KPb2W after structural relaxation.

Properties
Total magnetization = 0.51 μB per cell
Energy above the most stable polymorph in this dataset = 0.057 eV/atom
DFT formation energy = 58 kJ per mole of atoms

a = 3.4048 Å, b = 3.4048 Å, c = 31.1161 Å
α = 90.00°, β = 90.00°, γ = 120.00°
Space group R-3m (No. 166, hexagonal axes)
Symmetry-distinct sites (fractional):
K1 0.0000 0.0000 0.0000
Pb1 0.0000 0.0000 0.2373
W1 0.0000 0.0000 0.5000

Density functional theory data (PBE-GGA) for KPbW2 after structural relaxation.

Properties
Total magnetization = 0.00 μB per cell
DFT formation energy = 140 kJ per mole of atoms

a = 3.2386 Å, b = 4.8962 Å, c = 11.0324 Å
α = 90.00°, β = 90.00°, γ = 90.00°
Space group Cmmm (No. 65)
Symmetry-distinct sites (fractional):
K1 0.0000 0.0000 0.0000
Pb1 0.0000 0.0000 0.5000
W1 0.0000 0.5000 0.2792

Density functional theory data (PBE-GGA) for K2PbW after structural relaxation.

Properties
Total magnetization = 0.00 μB per cell
DFT formation energy = 100 kJ per mole of atoms

a = 3.3061 Å, b = 3.3061 Å, c = 37.1383 Å
α = 90.00°, β = 90.00°, γ = 120.00°
Space group R3m (No. 160, hexagonal axes)
Symmetry-distinct sites (fractional):
K1 0.0000 0.0000 0.0000
K2 0.0000 0.0000 0.2250
Pb1 0.0000 0.0000 0.4745
W1 0.0000 0.0000 0.7465

total magnetization of number 2 (KPbW2)? 0.00 μB per cell